# 1
4
Lattice="-1.292 2.516 3.939 -4.691 0.779 0.948 -2.127 -2.256 3.728" Properties=species:S:1:pos:R:3 comment="Mg2MnF PBE with a Hubbard U relaxed" sg="Fm-3m (225)" de_polymorph_mev_per_atom=478 pbc="T T T"
Mg -2.028 0.260 2.154
Mg -6.083 0.779 6.461
Mn -4.055 0.519 4.307
F 0.000 0.000 0.000


# 2
14
Lattice="-1.760 -4.023 2.770 5.408 0.134 0.254 -1.931 6.576 3.680" Properties=species:S:1:pos:R:3 comment="MgMnF5 PBE with a Hubbard U relaxed" sg="P-1 (2)" de_polymorph_mev_per_atom=0 pbc="T T T"
Mg 0.791 3.932 3.854
Mg 0.929 -1.266 2.853
Mn -1.930 6.566 3.682
Mn -1.844 1.266 3.227
F -0.337 0.126 2.119
F 2.057 2.541 4.589
F 2.310 0.119 2.980
F -0.496 -2.658 2.831
F 2.355 -2.652 2.367
F 2.987 2.459 2.017
F -0.636 5.318 4.340
F -1.266 0.207 4.691
F 2.213 5.326 3.878
F -0.590 2.547 3.728


# 3
14
Lattice="-3.405 -0.424 -4.005 -0.858 -5.129 -0.878 -6.721 -2.006 2.456" Properties=species:S:1:pos:R:3 comment="MgMnF5 PBE with a Hubbard U relaxed" sg="C2/c (15)" de_polymorph_mev_per_atom=11 pbc="T T T"
Mg 0.000 0.000 0.000
Mg -3.360 -1.003 1.228
Mn -7.273 -4.096 -0.722
Mn -3.712 -3.463 -1.704
F -6.985 -2.961 0.695
F -5.451 -4.901 -0.562
F -3.401 -2.372 -0.258
F -8.112 -2.545 -1.753
F -7.909 -5.479 0.572
F -3.075 -2.080 -2.998
F -2.872 -5.014 -0.673
F -7.584 -5.187 -2.168
F -5.533 -2.658 -1.865
F -3.999 -4.598 -3.121


# 4
12
Lattice="5.187 0.000 0.000 0.000 5.187 0.000 0.000 0.000 5.187" Properties=species:S:1:pos:R:3 comment="MgMn3F8 PBE with a Hubbard U relaxed" energy_ev_per_fu=-72.83 sg="Pm-3m (221)" pbc="T T T"
Mg 0.000 0.000 0.000
Mn 2.594 2.594 0.000
Mn 2.594 0.000 2.594
Mn 0.000 2.594 2.594
F 1.272 1.272 3.915
F 1.272 3.915 1.272
F 3.915 1.272 1.272
F 3.915 3.915 3.915
F 3.915 3.915 1.272
F 3.915 1.272 3.915
F 1.272 3.915 3.915
F 1.272 1.272 1.272


# 5
5
Lattice="-3.474 -0.022 -1.083 -0.299 -3.477 1.032 -4.147 0.582 7.177" Properties=species:S:1:pos:R:3 comment="Mg2Mn2F PBE with a Hubbard U relaxed" sg="I4/mmm (139)" de_polymorph_mev_per_atom=344 pbc="T T T"
Mg -2.321 -1.302 1.357
Mg -5.600 -1.615 5.769
Mn -4.754 -0.595 3.034
Mn -3.166 -2.322 4.092
F 0.000 0.000 0.000


# 6
10
Lattice="-1.306 5.834 -0.539 -4.323 -1.332 -3.945 -3.531 -0.420 4.011" Properties=species:S:1:pos:R:3 comment="Mg2Mn2F PBE with a Hubbard U relaxed" sg="P4/mbm (127)" de_polymorph_mev_per_atom=0 pbc="T T T"
Mg -4.005 0.808 -3.441
Mg -3.988 3.931 -3.099
Mg -1.624 3.694 -1.043
Mg -1.641 0.570 -1.385
Mn -4.834 -0.151 -0.690
Mn -6.256 2.529 -1.660
Mn -4.326 4.232 0.217
Mn -2.905 1.552 1.187
F 0.000 0.000 0.000
F -2.815 2.251 -2.242


# 7
9
Lattice="4.620 0.000 0.000 0.000 4.502 -2.599 0.000 0.000 5.198" Properties=species:S:1:pos:R:3 comment="Mg2MnF6 PBE with a Hubbard U relaxed" energy_ev_per_fu=-51.05 sg="P-31m (162)" pbc="T T T"
Mg 2.310 3.001 0.000
Mg 2.310 1.501 2.599
Mn 0.000 0.000 0.000
F 3.376 2.951 1.704
F 1.245 2.951 3.495
F 1.245 4.502 0.808
F 3.376 1.551 -0.895
F 1.245 1.551 0.895
F 3.376 0.000 1.791


# 8
28
Lattice="9.543 0.000 0.000 0.000 5.095 0.011 0.000 2.684 7.378" Properties=species:S:1:pos:R:3 comment="MgMnF5 PBE with a Hubbard U relaxed" sg="P2_1/c (14)" de_polymorph_mev_per_atom=5 pbc="T T T"
Mg 9.408 4.758 5.767
Mg 4.637 4.364 5.311
Mg 0.135 3.021 1.622
Mg 4.907 3.416 2.078
Mn 2.290 2.252 4.622
Mn 7.061 6.869 6.456
Mn 7.254 5.527 2.767
Mn 2.482 0.910 0.933
F 1.098 3.740 4.597
F 5.870 5.381 6.481
F 8.445 4.039 2.792
F 3.674 2.398 0.908
F 3.711 3.234 3.776
F 8.483 5.888 7.302
F 5.832 4.546 3.613
F 1.061 1.892 0.087
F 5.751 2.733 5.576
F 0.979 6.388 5.501
F 3.792 5.046 1.812
F 8.564 1.391 1.887
F 8.235 3.238 6.279
F 3.464 5.883 4.799
F 1.308 4.541 1.110
F 6.080 1.896 2.590
F 3.219 3.309 6.316
F 7.990 5.812 4.762
F 6.325 4.470 1.073
F 1.553 1.967 2.627


What is the formula in the seventh record?
Mg2MnF6